1.
A relaxed structure of Rb2MnTl2Cl6. Source: Alexandria, functional PBE-GGA.

Cell lengths 7.685, 7.685, 7.519 Å; angles 99.83, 99.83, 116.09 degrees
Last column: magnetic moment on the atom in μB.
Atoms (fractional coordinates):
1 Rb 0.342 0.658 0.500  0.00
2 Rb 0.658 0.342 0.500  0.00
3 Mn 0.000 0.000 0.500  4.44
4 Tl 0.827 0.173 0.000  0.01
5 Tl 0.173 0.827 0.000  0.01
6 Cl 0.816 0.816 0.728  0.03
7 Cl 0.060 0.336 0.706  0.03
8 Cl 0.184 0.184 0.272  0.03
9 Cl 0.336 0.060 0.706  0.03
10 Cl 0.940 0.664 0.294  0.03
11 Cl 0.664 0.940 0.294  0.03

Output
Calculated volume in Å³ per cell: 377
Fermi-level density of states in states/eV/f.u.: 0.00
Total energy in eV per atom: -3.805
Uncorrected formation energy in eV/atom: -1.358


2.
A relaxed structure of RbMn2TlCl6. Source: Alexandria, functional PBE-GGA.

Cell lengths 7.236, 9.859, 9.859 Å; angles 89.36, 83.26, 83.26 degrees
Last column: magnetic moment on the atom in μB.
Atoms (fractional coordinates):
1 Rb 0.250 0.899 0.101  0.00
2 Rb 0.750 0.101 0.899  0.00
3 Mn 0.222 0.796 0.626  4.37
4 Mn 0.278 0.374 0.204  4.37
5 Mn 0.778 0.204 0.374  4.37
6 Mn 0.722 0.626 0.796  4.37
7 Tl 0.250 0.299 0.701  0.01
8 Tl 0.750 0.701 0.299  0.01
9 Cl 0.180 0.978 0.779  0.05
10 Cl 0.320 0.221 0.022  0.05
11 Cl 0.820 0.022 0.221  0.05
12 Cl 0.680 0.779 0.978  0.05
13 Cl 0.353 0.852 0.412  0.06
14 Cl 0.147 0.588 0.148  0.06
15 Cl 0.647 0.148 0.588  0.06
16 Cl 0.853 0.412 0.852  0.06
17 Cl 0.922 0.712 0.606  0.07
18 Cl 0.578 0.394 0.288  0.07
19 Cl 0.078 0.288 0.394  0.07
20 Cl 0.422 0.606 0.712  0.07

Output
Calculated volume in Å³ per cell: 694
Fermi-level density of states in states/eV/f.u.: 0.00
Total energy in eV per atom: -4.529
Uncorrected formation energy in eV/atom: -1.254


3.
A relaxed structure of RbMn2TlCl8. Source: Alexandria, functional PBE-GGA.

Cell lengths 6.903, 6.903, 9.925 Å; angles 90.00, 90.00, 120.00 degrees
Last column: magnetic moment on the atom in μB.
Atoms (fractional coordinates):
1 Rb 0.000 0.000 0.000  0.00
2 Mn 0.667 0.333 0.229  3.62
3 Mn 0.333 0.667 0.771  3.62
4 Tl 0.000 0.000 0.500  -0.06
5 Cl 0.333 0.667 0.993  0.02
6 Cl 0.346 0.314 0.292  0.02
7 Cl 0.686 0.032 0.292  0.02
8 Cl 0.667 0.333 0.007  0.02
9 Cl 0.314 0.968 0.708  0.02
10 Cl 0.654 0.686 0.708  0.02
11 Cl 0.032 0.346 0.708  0.02
12 Cl 0.968 0.654 0.292  0.02

Output
Calculated volume in Å³ per cell: 410
Fermi-level density of states in states/eV/f.u.: 13.73
Total energy in eV per atom: -4.128
Uncorrected formation energy in eV/atom: -1.091


4.
A relaxed structure of Rb3MnTl3Cl8. Source: Alexandria, functional PBE-GGA.

Cell lengths 9.222, 9.222, 9.097 Å; angles 120.45, 90.00, 120.00 degrees
Last column: magnetic moment on the atom in μB.
Atoms (fractional coordinates):
1 Rb 0.500 0.000 0.500  0.00
2 Rb 0.500 0.500 0.500  0.00
3 Rb 0.000 0.500 0.500  0.00
4 Mn 0.000 0.000 0.500  4.45
5 Tl 0.000 0.000 0.000  0.00
6 Tl 0.000 0.500 0.000  0.00
7 Tl 0.500 0.500 0.000  0.00
8 Cl 0.249 0.498 0.246  0.00
9 Cl 0.751 0.502 0.754  0.00
10 Cl 0.799 0.597 0.295  0.03
11 Cl 0.201 0.403 0.705  0.03
12 Cl 0.800 0.997 0.296  0.03
13 Cl 0.200 0.003 0.704  0.03
14 Cl 0.197 0.997 0.296  0.03
15 Cl 0.803 0.003 0.704  0.03

Output
Calculated volume in Å³ per cell: 543
Fermi-level density of states in states/eV/f.u.: 0.00
Total energy in eV per atom: -3.673
Uncorrected formation energy in eV/atom: -1.410


5.
A relaxed structure of RbMnTlCl6. Source: Alexandria, functional PBE-GGA.

Cell lengths 7.555, 7.555, 12.186 Å; angles 90.00, 90.00, 120.00 degrees
Last column: magnetic moment on the atom in μB.
Atoms (fractional coordinates):
1 Rb 0.000 0.000 0.000  0.00
2 Rb 0.000 0.000 0.500  0.00
3 Mn 0.333 0.667 0.250  2.85
4 Mn 0.667 0.333 0.750  2.85
5 Tl 0.667 0.333 0.250  0.02
6 Tl 0.333 0.667 0.750  0.02
7 Cl 0.580 0.667 0.141  -0.01
8 Cl 0.086 0.420 0.141  -0.01
9 Cl 0.420 0.086 0.641  -0.01
10 Cl 0.914 0.580 0.859  -0.01
11 Cl 0.333 0.420 0.359  -0.01
12 Cl 0.086 0.667 0.359  -0.01
13 Cl 0.667 0.086 0.859  -0.01
14 Cl 0.580 0.914 0.359  -0.01
15 Cl 0.914 0.333 0.641  -0.01
16 Cl 0.333 0.914 0.141  -0.01
17 Cl 0.667 0.580 0.641  -0.01
18 Cl 0.420 0.333 0.859  -0.01

Output
Calculated volume in Å³ per cell: 602
Total energy in eV per atom: -3.768
Uncorrected formation energy in eV/atom: -1.147


6.
A relaxed structure of RbMn2Tl3Cl9. Source: Alexandria, functional PBE-GGA.

Cell lengths 7.111, 7.111, 10.608 Å; angles 90.00, 90.00, 120.00 degrees
Last column: magnetic moment on the atom in μB.
Atoms (fractional coordinates):
1 Rb 0.000 0.000 0.500  0.00
2 Mn 0.333 0.667 0.151  4.03
3 Mn 0.667 0.333 0.849  4.03
4 Tl 0.333 0.667 0.763  0.00
5 Tl 0.000 0.000 0.000  0.00
6 Tl 0.667 0.333 0.237  0.00
7 Cl 0.830 0.170 0.735  0.04
8 Cl 0.830 0.660 0.735  0.04
9 Cl 0.340 0.170 0.735  0.04
10 Cl 0.660 0.830 0.265  0.04
11 Cl 0.170 0.340 0.265  0.04
12 Cl 0.170 0.830 0.265  0.04
13 Cl 0.500 0.000 0.000  0.00
14 Cl 0.000 0.500 0.000  0.00
15 Cl 0.500 0.500 0.000  0.00

Output
Calculated volume in Å³ per cell: 465
Fermi-level density of states in states/eV/f.u.: 2.58
Total energy in eV per atom: -4.009
Uncorrected formation energy in eV/atom: -1.141


7.
A relaxed structure of Rb3Mn2TlCl8. Source: Alexandria, functional PBE-GGA.

Cell lengths 7.852, 7.852, 9.413 Å; angles 90.00, 90.00, 120.00 degrees
Last column: magnetic moment on the atom in μB.
Atoms (fractional coordinates):
1 Rb 0.333 0.667 0.610  0.00
2 Rb 0.667 0.333 0.390  0.00
3 Rb 0.000 0.000 0.000  0.00
4 Mn 0.333 0.667 0.186  4.33
5 Mn 0.667 0.333 0.814  4.33
6 Tl 0.000 0.000 0.500  0.02
7 Cl 0.333 0.667 0.943  0.06
8 Cl 0.667 0.333 0.057  0.06
9 Cl 0.176 0.824 0.295  0.04
10 Cl 0.824 0.176 0.705  0.04
11 Cl 0.176 0.352 0.295  0.04
12 Cl 0.824 0.648 0.705  0.04
13 Cl 0.648 0.824 0.295  0.04
14 Cl 0.352 0.176 0.705  0.04

Output
Calculated volume in Å³ per cell: 503
Fermi-level density of states in states/eV/f.u.: 0.00
Total energy in eV per atom: -4.188
Uncorrected formation energy in eV/atom: -1.447


8.
A relaxed structure of RbMnTl2Cl8. Source: Alexandria, functional PBE-GGA.

Cell lengths 6.213, 7.521, 9.095 Å; angles 89.95, 90.05, 116.97 degrees
Last column: magnetic moment on the atom in μB.
Atoms (fractional coordinates):
1 Rb 0.000 0.000 0.500  0.00
2 Mn 0.000 0.000 0.000  2.74
3 Tl 0.501 0.500 0.751  -0.07
4 Tl 0.499 0.500 0.249  -0.07
5 Cl 0.031 0.796 0.178  -0.03
6 Cl 0.592 0.815 0.999  -0.03
7 Cl 0.968 0.204 0.178  -0.03
8 Cl 0.969 0.204 0.822  -0.03
9 Cl 0.408 0.185 0.001  -0.03
10 Cl 0.032 0.796 0.822  -0.03
11 Cl 0.406 0.689 0.500  -0.10
12 Cl 0.594 0.311 0.500  -0.10

Output
Calculated volume in Å³ per cell: 379
Fermi-level density of states in states/eV/f.u.: 3.70
Total energy in eV per atom: -3.473
Uncorrected formation energy in eV/atom: -1.002


9.
A relaxed structure of RbTmMn2Cl8. Source: Alexandria, functional PBE-GGA.

Cell lengths 6.418, 6.418, 11.200 Å; angles 73.35, 73.35, 60.00 degrees
Last column: magnetic moment on the atom in μB.
Atoms (fractional coordinates):
1 Rb 0.000 0.000 0.000  0.00
2 Tm 0.500 0.500 0.500  0.08
3 Mn 0.756 0.756 0.733  4.33
4 Mn 0.244 0.244 0.267  4.33
5 Cl 0.684 0.684 0.948  0.07
6 Cl 0.316 0.316 0.052  0.07
7 Cl 0.565 0.232 0.340  0.04
8 Cl 0.768 0.435 0.660  0.04
9 Cl 0.138 0.768 0.660  0.04
10 Cl 0.232 0.862 0.340  0.04
11 Cl 0.862 0.565 0.340  0.04
12 Cl 0.435 0.138 0.660  0.04

Output
Calculated volume in Å³ per cell: 377
Fermi-level density of states in states/eV/f.u.: 0.00
Total energy in eV per atom: -4.795
Uncorrected formation energy in eV/atom: -1.583


10.
A relaxed structure of RbUMn2Cl8. Source: Alexandria, functional PBE-GGA.

Cell lengths 6.532, 6.532, 11.023 Å; angles 72.77, 72.77, 60.00 degrees
Last column: magnetic moment on the atom in μB.
Atoms (fractional coordinates):
1 Rb 0.000 0.000 0.000  0.00
2 U 0.500 0.500 0.500  -2.76
3 Mn 0.750 0.750 0.751  4.29
4 Mn 0.250 0.250 0.249  4.29
5 Cl 0.677 0.677 0.970  0.07
6 Cl 0.323 0.323 0.030  0.07
7 Cl 0.564 0.227 0.330  0.05
8 Cl 0.773 0.436 0.670  0.05
9 Cl 0.121 0.773 0.670  0.05
10 Cl 0.227 0.879 0.330  0.05
11 Cl 0.879 0.564 0.330  0.05
12 Cl 0.436 0.121 0.670  0.05

Output
Calculated volume in Å³ per cell: 383
Fermi-level density of states in states/eV/f.u.: 1.98
Total energy in eV per atom: -5.164
Uncorrected formation energy in eV/atom: -1.383